6
Lattice="3.847 0.000 0.000 0.000 3.847 0.000 0.000 0.000 12.736" Properties=species:S:1:pos:R:3 comment="LaSmZr, optimized geometry, DFT GGA-PBE" formation_energy_ev_per_atom=0.082 dos_ef_per_ev_atom=1.6259 mass_density_kg_m3=6704 sg="P4/nmm (129)" pbc="T T T"
La 0.962 0.962 1.285
La 2.885 2.885 11.451
Sm 0.962 0.962 8.967
Sm 2.885 2.885 3.769
Zr 0.962 0.962 5.727
Zr 2.885 2.885 7.009